PmDyFe2O6 | PBE with a Hubbard U | relaxed

Its electronic total energy is -7.37 eV per atom. The mass density is 7.46 g cm⁻³. The space-group type is P1, No. 1. For the spin magnetization, the calculation gives 6.02 μB/cell. The value obtained for the volume is 11.5 A^3/atom.

Unit cell a=5.393 b=5.403 c=5.412 alpha=61.09 beta=61.43 gamma=61.23
Atoms (fractional coordinates):
Pm  0.000  0.000  0.000
Dy  0.508  0.515  0.515
Fe  0.244  0.248  0.247
Fe  0.743  0.748  0.747
O  0.081  0.499  0.901
O  0.415  0.977  0.580
O  0.488  0.902  0.086
O  0.579  0.417  0.976
O  0.895  0.087  0.495
O  0.977  0.579  0.419